Below is a relaxed AcTcO4F2 crystal, with properties calculated at the PBE level.

The structure belongs to space group P1 (No. 1); the cell edges are 4.772, 4.800 and 6.809 Å and the angles 73.98°, 85.49° and 74.55°. The inequivalent atoms are Ac at (0.000, 0.000, 0.000), Tc at (0.450, 0.324, 0.492), O at (0.205, 0.657, 0.370), O at (0.255, 0.071, 0.624), O at (0.661, 0.382, 0.666), O at (0.677, 0.179, 0.312), F at (0.085, 0.491, 0.967) and F at (0.526, 0.896, 0.018).

As for the density of states at the Fermi level: 0.000 states/eV/cell. The energy relative to the elements, uncorrected is -2.557 eV per atom.



Below is a relaxed SrTaN2 crystal, with properties calculated at the PBE level.

The structure belongs to space group I-42d (No. 122); the cell edges are 5.290, 5.290 and 10.183 Å and the angles 90.00°, 90.00° and 90.00°. The inequivalent atoms are Sr at (0.000, 0.000, 0.000), Ta at (0.000, 0.000, 0.500) and N at (0.149, 0.250, 0.625).

As for the density of states at the Fermi level: 6.876 states/eV/cell. The energy relative to the elements, uncorrected is -0.953 eV per atom.



Below is a relaxed Cu3NiHg crystal, with properties calculated at the PBE level.

The structure belongs to space group Pm-3m (No. 221); the cell edges are 4.426, 4.426 and 4.426 Å and the angles 90.00°, 90.00° and 90.00°. The inequivalent atoms are Cu at (0.000, 0.000, 0.500), Ni at (0.000, 0.000, 0.000) and Hg at (0.500, 0.500, 0.500).

As for the density of states at the Fermi level: 3.753 states/eV/cell. The distance to the lowest polymorph of the same formula comes out at 0 meV/atom. Its formation energy is 0.73 eV/atom.



Below is a relaxed Ta2InW crystal, with properties calculated at the PBE level.

The structure belongs to space group P4mm (No. 99); the cell edges are 3.421, 3.421 and 6.294 Å and the angles 90.00°, 90.00° and 90.00°. The inequivalent atoms are Ta at (0.000, 0.000, 0.000), Ta at (0.500, 0.500, 0.235), In at (0.500, 0.500, 0.724) and W at (0.000, 0.000, 0.459).

As for the density of states at the Fermi level: 2.216 states/eV/cell. Its formation energy is 0.19 eV/atom.



Below is a relaxed LiCuAsS3 crystal, with properties calculated at the PBE level.

The structure belongs to space group P2_1/m (No. 11); the cell edges are 7.116, 3.672 and 9.600 Å and the angles 90.00°, 93.17° and 90.00°. The inequivalent atoms are Li at (0.223, 0.250, 0.234), Cu at (0.136, 0.750, 0.577), As at (0.394, 0.250, 0.845), S at (0.027, 0.750, 0.352), S at (0.307, 0.750, 0.064) and S at (0.437, 0.750, 0.678).

As for the density of states at the Fermi level: 5.401 states/eV/cell. The energy relative to the elements, uncorrected is -0.385 eV per atom.



Below is a relaxed Eu2SeO crystal, with properties calculated at the PBE level.

The structure belongs to space group R-3m (No. 166, hexagonal axes); the cell edges are 3.9221, 3.9221 and 19.7473 Å and the angles 90.00°, 90.00° and 120.00°. The inequivalent atoms are Eu at (0.0000, 0.0000, 0.2358), Se at (0.0000, 0.0000, 0.0000) and O at (0.0000, 0.0000, 0.5000).

As for the density of states at the Fermi level: 27.526 states/eV/cell. The energy relative to the elements, uncorrected is -2.270 eV per atom. The distance to the lowest polymorph of the same formula comes out at 0 meV/atom.



Below is a relaxed La2TbIr crystal, with properties calculated at the PBE level.

The structure belongs to space group R-3m (No. 166, hexagonal axes); the cell edges are 3.9071, 3.9071 and 31.8927 Å and the angles 90.00°, 90.00° and 120.00°. The inequivalent atoms are La at (0.0000, 0.0000, 0.1126), Tb at (0.0000, 0.0000, 0.0000) and Ir at (0.0000, 0.0000, 0.5000).

As for the density of states at the Fermi level: 19.720 states/eV/cell. The distance to the lowest polymorph of the same formula comes out at 366 meV/atom. Its formation energy is -0.13 eV/atom.



Below is a relaxed Hg2WSe crystal, with properties calculated at the PBE level.

The structure belongs to space group I-42d (No. 122); the cell edges are 10.744, 10.744 and 4.773 Å and the angles 90.00°, 90.00° and 90.00°. The inequivalent atoms are Hg at (0.001, 0.250, 0.125), W at (0.000, 0.000, 0.000) and Se at (0.000, 0.000, 0.500).

As for the density of states at the Fermi level: 10.717 states/eV/cell. The energy relative to the elements, uncorrected is 0.561 eV per atom.



Below is a relaxed CaCo2Tc2 crystal, with properties calculated at the PBE level.

The structure belongs to space group P4/mbm (No. 127); the cell edges are 7.474, 7.474 and 2.639 Å and the angles 90.00°, 90.00° and 90.00°. The inequivalent atoms are Ca at (0.000, 0.000, 0.000), Co at (0.118, 0.382, 0.000) and Tc at (0.170, 0.670, 0.500).

As for the density of states at the Fermi level: 12.576 states/eV/cell. The distance to the lowest polymorph of the same formula comes out at 66 meV/atom. Its formation energy is 0.30 eV/atom.



Below is a relaxed NaMnPt crystal, with properties calculated at the PBE level.

The structure belongs to space group C2/m (No. 12); the cell edges are 6.308, 5.910 and 6.184 Å and the angles 90.00°, 108.04° and 90.00°. The inequivalent atoms are Na at (0.183, 0.000, 0.150), Mn at (0.000, 0.239, 0.500) and Pt at (0.157, 0.500, 0.242).

As for the density of states at the Fermi level: 4.481 states/eV/cell. The distance to the lowest polymorph of the same formula comes out at 74 meV/atom. Its formation energy is -0.01 eV/atom.



Below is a relaxed TbDy4S5 crystal, with properties calculated at the PBE level.

The structure belongs to space group Immm (No. 71); the cell edges are 3.913, 5.520 and 19.553 Å and the angles 90.00°, 90.00° and 90.00°. The inequivalent atoms are Tb at (0.000, 0.000, 0.000), Dy at (0.000, 0.000, 0.200), Dy at (0.000, 0.000, 0.400), S at (0.000, 0.500, 0.000), S at (0.000, 0.500, 0.200) and S at (0.000, 0.500, 0.399).

As for the density of states at the Fermi level: 8.775 states/eV/cell. The energy relative to the elements, uncorrected is -1.993 eV per atom.



Below is a relaxed BaOsBr2 crystal, with properties calculated at the PBE level.

The structure belongs to space group Pm (No. 6); the cell edges are 4.318, 4.603 and 6.654 Å and the angles 90.00°, 108.56° and 90.00°. The inequivalent atoms are Ba at (0.000, 0.000, 0.000), Os at (0.368, 0.500, 0.730), Br at (0.304, 0.000, 0.600) and Br at (0.589, 0.500, 0.181).

As for the density of states at the Fermi level: 2.645 states/eV/cell. The energy relative to the elements, uncorrected is -0.077 eV per atom. The distance to the lowest polymorph of the same formula comes out at 7 meV/atom.